[1]
DFT (PBE) results for an optimized crystal structure of RbCoTe3.

Calculated values
* Fermi-level density of states: 5.782 states/eV/cell
* crystal system: cubic
* density: 5.958 g cm⁻³
* formation energy (no corrections): -0.0783 eV/atom

Lattice parameters (Å, degrees): 5.277 5.277 5.277 90.00 90.00 90.00
Last column: magnetic moment on the atom in μB.
Fractional positions:
Te1 0.000 0.500 0.000  0.01
Te2 0.000 0.000 0.500  -0.01
Te3 0.500 0.000 0.000  0.13
Co1 0.000 0.000 0.000  1.12
Rb1 0.500 0.500 0.500  0.00



[2]
DFT (PBE) results for an optimized crystal structure of Sc2Mn2ZnGa5.

Calculated values
* Fermi-level density of states: 12.690 states/eV/cell
* crystal system: tetragonal
* formation energy from the elements: -0.223 eV per atom
* density: 6.149 g cm⁻³

Lattice parameters (Å, degrees): 3.992 9.113 9.113 90.00 90.00 90.00
Last column: magnetic moment on the atom in μB.
Fractional positions:
Sc1 0.000 0.684 0.184  -0.05
Sc2 0.000 0.316 0.816  -0.05
Sc3 0.000 0.184 0.316  -0.05
Sc4 0.000 0.816 0.684  -0.05
Mn1 0.000 0.113 0.613  2.44
Mn2 0.000 0.887 0.387  2.44
Mn3 0.000 0.613 0.887  2.44
Mn4 0.000 0.387 0.113  2.44
Zn1 0.000 0.000 0.000  0.02
Zn2 0.000 0.500 0.500  0.02
Ga1 0.500 0.207 0.062  -0.04
Ga2 0.500 0.793 0.938  -0.04
Ga3 0.500 0.062 0.793  -0.04
Ga4 0.500 0.707 0.438  -0.04
Ga5 0.500 0.938 0.207  -0.04
Ga6 0.500 0.293 0.562  -0.04
Ga7 0.500 0.562 0.707  -0.04
Ga8 0.500 0.438 0.293  -0.04
Ga9 0.500 0.500 0.000  -0.07
Ga10 0.500 0.000 0.500  -0.07



[3]
DFT (PBE) results for an optimized crystal structure of TlCrBr2.

Calculated values
* Fermi-level density of states: 0.033 states/eV/cell
* crystal system: tetragonal
* E above lowest polymorph: 0.09 eV/f.u.
* density: 5.648 g cm⁻³
* formation energy (no corrections): -0.3611 eV/atom

Lattice parameters (Å, degrees): 8.040 8.040 6.830 53.94 53.94 90.00
Last column: magnetic moment on the atom in μB.
Fractional positions:
Cr1 0.500 0.500 0.000  4.11
Cr2 0.250 0.750 0.500  4.11
Tl1 0.000 0.000 0.000  0.05
Tl2 0.750 0.250 0.500  0.05
Br1 0.551 0.125 0.250  0.02
Br2 0.199 0.625 0.250  0.02
Br3 0.375 0.449 0.750  0.02
Br4 0.875 0.801 0.750  0.02



[4]
DFT (PBE) results for an optimized crystal structure of Er4GaAg.

Calculated values
* Fermi-level density of states: 12.870 states/eV/cell
* crystal system: orthorhombic
* formation energy from the elements: -0.082 eV per atom
* density: 8.218 g cm⁻³

Lattice parameters (Å, degrees): 5.034 6.265 11.136 90.00 103.06 90.00
Fractional positions:
Er1 0.874 0.283 0.748
Er2 0.126 0.783 0.252
Er3 0.435 0.865 0.871
Er4 0.565 0.365 0.129
Er5 0.716 0.550 0.432
Er6 0.284 0.050 0.568
Er7 0.691 0.066 0.383
Er8 0.309 0.566 0.617
Ga1 0.840 0.810 0.680
Ga2 0.160 0.310 0.320
Ag1 0.568 0.859 0.137
Ag2 0.432 0.359 0.863



[5]
DFT (PBE) results for an optimized crystal structure of Rb2CeI5.

Calculated values
* Fermi-level density of states: 32.822 states/eV/cell
* crystal system: orthorhombic
* density: 4.345 g cm⁻³
* formation energy (no corrections): -1.4459 eV/atom

Lattice parameters (Å, degrees): 9.521 10.125 14.996 90.00 90.00 90.00
Last column: magnetic moment on the atom in μB.
Fractional positions:
Rb1 0.931 0.006 0.829  0.00
Rb2 0.069 0.994 0.171  0.00
Rb3 0.431 0.994 0.671  0.00
Rb4 0.069 0.506 0.171  0.00
Rb5 0.569 0.006 0.329  0.00
Rb6 0.931 0.494 0.829  0.00
Rb7 0.569 0.494 0.329  0.00
Rb8 0.431 0.506 0.671  0.00
Ce1 0.925 0.750 0.505  1.00
Ce2 0.075 0.250 0.495  1.00
Ce3 0.425 0.250 0.995  1.00
Ce4 0.575 0.750 0.005  1.00
I1 0.112 0.750 0.683  -0.01
I2 0.888 0.250 0.317  -0.01
I3 0.612 0.250 0.817  -0.01
I4 0.388 0.750 0.183  -0.01
I5 0.832 0.046 0.569  -0.01
I6 0.168 0.954 0.431  -0.01
I7 0.332 0.954 0.931  -0.01
I8 0.168 0.546 0.431  -0.01
I9 0.668 0.046 0.069  -0.01
I10 0.832 0.454 0.569  -0.01
I11 0.668 0.454 0.069  -0.01
I12 0.332 0.546 0.931  -0.01
I13 0.582 0.750 0.509  -0.01
I14 0.418 0.250 0.491  -0.01
I15 0.082 0.250 0.991  -0.01
I16 0.918 0.750 0.009  -0.01
I17 0.651 0.750 0.798  -0.01
I18 0.349 0.250 0.202  -0.01
I19 0.151 0.250 0.702  -0.01
I20 0.849 0.750 0.298  -0.01



[6]
DFT (PBE) results for an optimized crystal structure of NaReRh3.

Calculated values
* Fermi-level density of states: 3.378 states/eV/cell
* crystal system: cubic
* formation energy from the elements: 0.854 eV per atom
* E above lowest polymorph: 0.00 eV/f.u.
* density: 8.049 g cm⁻³

Lattice parameters (Å, degrees): 4.745 4.745 4.745 90.00 90.00 90.00
Fractional positions:
Re1 0.000 0.000 0.000
Rh1 0.000 0.500 0.000
Rh2 0.000 0.000 0.500
Rh3 0.500 0.000 0.000
Na1 0.500 0.500 0.500